1.
Below is an optimized crystal structure of TlInBi2O, with properties calculated at the PBEsol level.

a b c (Å): 4.0574 5.9472 5.9472
angles (deg): 90.00 90.00 90.00
Fractional coordinates of all 5 atoms:
Bi1 0.0000 0.5000 0.0000
Bi2 0.0000 0.0000 0.5000
O1 0.5000 0.0000 0.0000
Tl1 0.0000 0.0000 0.0000
In1 0.5000 0.5000 0.5000

=====

2.
Below is an optimized crystal structure of SbAs2PdBr, with properties calculated at the PBEsol level.

a b c (Å): 4.8650 4.8650 4.9216
angles (deg): 90.00 90.00 90.00
Fractional coordinates of all 5 atoms:
Sb1 0.5000 0.5000 0.5000
As1 0.5000 0.0000 0.0000
As2 0.0000 0.5000 0.0000
Br1 0.0000 0.0000 0.5000
Pd1 0.0000 0.0000 0.0000

Output
ΔE to the lowest computed polymorph: 0 meV per atom

=====

3.
Below is an optimized crystal structure of NaTe2As2, with properties calculated at the PBEsol level.

a b c (Å): 4.4147 4.4147 7.7414
angles (deg): 106.57 106.57 90.00
Fractional coordinates of all 5 atoms:
Te1 0.7500 0.2500 0.5000
Te2 0.2500 0.7500 0.5000
As1 0.5801 0.5801 0.1602
As2 0.4199 0.4199 0.8398
Na1 0.0000 0.0000 0.0000

Output
ΔE to the lowest computed polymorph: 165 meV per atom

=====

| no. | total DFT energy (no corrections) (eV per atom) |
| --- | --- |
| 1 | -3.5333 |
| 2 | -4.1154 |
| 3 | -3.6551 |